VASP calculation (meta-GGA SCAN) on BeFeOs2 at its PBEsol-relaxed geometry.

Computed properties:
Formation energy from the elements = 3.7 kcal/mol of atoms
Uncorrected energy = -41.40 eV/atom

abc: 2.8303 3.9932 4.3441
angles: 90.00 90.00 90.00
With the nearest neighbours (Å) after each atom.
Space group Pmmm (No. 47)
Unique sites:
Be  0.0000  0.0000  0.0000 [1 per cell]  4 Os 2.45, 4 Fe 2.59
Fe  0.5000  0.0000  0.5000 [1 per cell]  4 Os 2.45, 4 Be 2.59
Os  0.0000  0.5000  0.5000 [1 per cell]  4 Fe 2.45, 4 Os 2.59
Os  0.5000  0.5000  0.0000 [1 per cell]  4 Be 2.45, 4 Os 2.59

=====

VASP calculation (meta-GGA SCAN) on BeFeOs2 at its PBEsol-relaxed geometry.

Computed properties:
Formation energy from the elements = -2.6 kcal/mol of atoms
Uncorrected energy = -41.67 eV/atom

abc: 2.7796 2.7796 5.9306
angles: 90.00 90.00 90.00
With the nearest neighbours (Å) after each atom.
Space group P4/mmm (No. 123)
Unique sites:
Be  0.0000  0.0000  0.0000 [1 per cell]  8 Os 2.40
Fe  0.0000  0.0000  0.5000 [1 per cell]  8 Os 2.53, 4 Fe 2.78
Os  0.5000  0.5000  0.2324 [2 per cell]  4 Be 2.40, 4 Fe 2.53

=====

VASP calculation (meta-GGA SCAN) on Be2Fe2Os at its PBEsol-relaxed geometry.

Computed properties:
Formation energy from the elements = -3.0 kcal/mol of atoms
Uncorrected energy = -23.50 eV/atom

abc: 6.0642 6.0642 2.6790
angles: 90.00 90.00 90.00
With the nearest neighbours (Å) after each atom.
Space group P4/mbm (No. 127)
Unique sites:
Be  0.1240  0.3760  0.0000 [4 per cell]  1 Be 2.13, 6 Fe 2.21-2.25
Fe  0.1707  0.6707  0.5000 [4 per cell]  6 Be 2.21-2.25
Os  0.0000  0.0000  0.0000 [2 per cell]  4 Be 2.40, 8 Fe 2.62, 2 Os 2.68

=====

Theoretical density / Mg/m³: 15.1; 16.1; 10.8